The following is a SCAN calculation of InSnPS2 at its PBEsol-relaxed geometry, from the Alexandria database.

Properties
- uncorrected formation energy (kJ/mol of atoms) = 40
- final energy (eV per atom) = -19.38

abc: 4.941 4.941 5.050
angles: 90.00 90.00 90.00
Positions (direct):
In: 0.500 0.500 0.500
S: 0.000 0.500 0.000
S: 0.500 0.000 0.000
Sn: 0.000 0.000 0.000
P: 0.000 0.000 0.500

---

The following is a SCAN calculation of SrInPS2 at its PBEsol-relaxed geometry, from the Alexandria database.

Properties
- uncorrected formation energy (kJ/mol of atoms) = 27
- final energy (eV per atom) = -16.78

abc: 5.488 5.488 5.688
angles: 90.00 90.00 90.00
Positions (direct):
S: 0.000 0.500 0.000
S: 0.500 0.000 0.000
In: 0.500 0.500 0.500
P: 0.000 0.000 0.500
Sr: 0.000 0.000 0.000

---

The following is a SCAN calculation of InTcP2S at its PBEsol-relaxed geometry, from the Alexandria database.

Properties
- uncorrected formation energy (kJ/mol of atoms) = 29
- final energy (eV per atom) = -19.48

abc: 4.448 4.448 5.156
angles: 90.00 90.00 90.00
Positions (direct):
P: 0.500 0.000 0.000
P: 0.000 0.500 0.000
In: 0.500 0.500 0.500
Tc: 0.000 0.000 0.000
S: 0.000 0.000 0.500

---

The following is a SCAN calculation of ZnInP2S at its PBEsol-relaxed geometry, from the Alexandria database.

Properties
- uncorrected formation energy (kJ/mol of atoms) = 110
- final energy (eV per atom) = -14.33

abc: 4.906 4.992 4.992
angles: 90.00 90.00 90.00
Positions (direct):
S: 0.500 0.000 0.000
Zn: 0.500 0.500 0.500
P: 0.000 0.000 0.500
P: 0.000 0.500 0.000
In: 0.000 0.000 0.000

---

The following is a SCAN calculation of Sc3InP4 at its PBEsol-relaxed geometry, from the Alexandria database.

Properties
- final energy (eV per atom) = -15.63
- formation energy from the elements (eV per atom) = -0.92

abc: 4.151 4.151 13.762
angles: 81.33 81.33 60.00
Positions (direct):
P: 0.687 0.687 0.939
P: 0.937 0.937 0.188
P: 0.438 0.438 0.686
P: 0.188 0.188 0.437
Sc: 0.250 0.250 0.250
Sc: 0.501 0.501 0.498
Sc: 0.000 0.000 0.000
In: 0.750 0.750 0.751

---

The following is a SCAN calculation of Sc2InP at its PBEsol-relaxed geometry, from the Alexandria database.

Properties
- energy above the most stable polymorph in this dataset (kJ/mol of formula units) = 0.0
- final energy (eV per atom) = -19.13
- formation energy from the elements (eV per atom) = -1.06

abc: 3.590 3.590 7.844
angles: 76.77 76.77 60.00
Positions (direct):
P: 0.000 0.000 0.000
Sc: 0.268 0.268 0.196
Sc: 0.732 0.732 0.804
In: 0.500 0.500 0.500

---

The following is a SCAN calculation of Sc2InP at its PBEsol-relaxed geometry, from the Alexandria database.

Properties
- energy above the most stable polymorph in this dataset (kJ/mol of formula units) = 175.7
- final energy (eV per atom) = -18.67
- formation energy from the elements (eV per atom) = -0.61

abc: 3.835 4.449 4.449
angles: 90.00 90.00 90.00
Positions (direct):
P: 0.500 0.000 0.000
Sc: 0.000 0.000 0.500
Sc: 0.000 0.500 0.000
In: 0.500 0.500 0.500

---

The following is a SCAN calculation of Sc2InP at its PBEsol-relaxed geometry, from the Alexandria database.

Properties
- energy above the most stable polymorph in this dataset (kJ/mol of formula units) = 93.2
- final energy (eV per atom) = -18.89
- formation energy from the elements (eV per atom) = -0.82

abc: 3.219 3.219 7.495
angles: 90.00 90.00 90.00
Positions (direct):
In: 0.500 0.500 0.000
Sc: 0.000 0.000 0.702
Sc: 0.000 0.000 0.298
P: 0.500 0.500 0.500